Record 1
IrF | PBE | relaxed

abc: 8.9981 8.9981 2.7658
angles: 90.00 90.00 120.00
With the nearest neighbours (Å) after each atom.
Space group P6_3/mmc (No. 194)
Unique sites:
Ir 0.1415 0.5708 0.2500 (multiplicity 6)  2 F 2.07
F 0.1817 0.3634 0.2500 (multiplicity 6)  2 Ir 2.07

* ΔE to the lowest computed polymorph: 120 meV/atom
* energy relative to the elements, uncorrected: -462 meV per atom
* DOS at the Fermi energy: 9.08 states/eV/cell

Record 2
LiLa6Ga5 | PBE | relaxed

abc: 5.3506 16.1099 7.5386
angles: 90.00 90.00 90.00
With the nearest neighbours (Å) after each atom.
Space group Cmmm (No. 65)
Unique sites:
Li 0.0000 0.0000 0.0000 (multiplicity 2)  8 La 3.32-3.34, 4 Ga 3.66
La 0.0000 0.1709 0.2512 (multiplicity 8)  7 Ga 3.23-3.38, 1 Li 3.34
La 0.0000 0.5000 0.2603 (multiplicity 4)  6 Ga 3.18-3.23, 2 Li 3.32
Ga 0.0000 0.0000 0.5000 (multiplicity 2)  8 La 3.23-3.33
Ga 0.0000 0.3345 0.5000 (multiplicity 4)  8 La 3.22-3.27
Ga 0.0000 0.3449 0.0000 (multiplicity 4)  8 La 3.18-3.38

* energy relative to the elements: -5.81 eV per formula unit
* DOS at the Fermi energy: 24.77 states/eV/cell